VASP calculation (PBE-GGA) on LiMgHg2 after structural relaxation.

Values from the calculation:
**Space group**: I-42d
**ΔH_f (0 K)**: -0.14 eV per atom

abc: 7.581 7.581 6.205
angles: 52.35 52.35 90.00
Sites, in units of the cell vectors:
Li: 0.500 0.500 0.000
Li: 0.250 0.750 0.500
Mg: 0.750 0.250 0.500
Mg: 0.000 0.000 0.000
Hg: 0.145 0.625 0.250
Hg: 0.875 0.855 0.750
Hg: 0.375 0.395 0.750
Hg: 0.605 0.125 0.250